# 1
An optimized crystal structure of Cs2NaZr3O8. Source: Alexandria, functional PBE.

Unit cell a=8.1921 b=8.1921 c=8.1921 alpha=47.81 beta=47.81 gamma=47.81
With the nearest neighbours (Å) after each atom.
Positions (direct):
Cs (0.0000, 0.0000, 0.0000)  6 O 2.99-3.17
Cs (0.3561, 0.3561, 0.3561)  4 O 2.95-3.01
Na (0.5195, 0.5195, 0.5195)  6 O 2.27-2.50
Zr (0.0003, 0.0003, 0.5009)  6 O 2.11-2.21
Zr (0.0003, 0.5009, 0.0003)  6 O 2.11-2.21
Zr (0.5009, 0.0004, 0.0003)  6 O 2.11-2.21
O (0.1769, 0.7401, 0.7401)  2 Zr 2.13, 1 Na 2.27
O (0.2173, 0.2173, 0.2173)  3 Zr 2.21
O (0.2755, 0.2755, 0.8107)  2 Zr 2.11
O (0.2755, 0.8107, 0.2755)  2 Zr 2.11
O (0.7401, 0.1769, 0.7401)  2 Zr 2.13, 1 Na 2.27
O (0.7401, 0.7401, 0.1769)  2 Zr 2.13, 1 Na 2.27
O (0.7841, 0.7841, 0.7841)  3 Zr 2.20
O (0.8107, 0.2755, 0.2755)  2 Zr 2.11

- formation energy without anion corrections (meV per atom) = -2544
- total magnetic moment (μB per cell) = 1.1
- symmetry = R3m (160)


# 2
An optimized crystal structure of Pm2Sm4N. Source: Alexandria, functional PBE.

Unit cell a=9.5777 b=9.5777 c=9.5777 alpha=150.18 beta=150.18 gamma=42.68
With the nearest neighbours (Å) after each atom.
Positions (direct):
Pm (0.1699, 0.1699, 0.0000)  9 Sm 3.51-3.91
Pm (0.8301, 0.8301, 0.0000)  9 Sm 3.51-3.91
Sm (0.0000, 0.5000, 0.5000)  2 N 2.46
Sm (0.3664, 0.3664, 0.0000)  1 N 2.38
Sm (0.5000, 0.0000, 0.5000)  2 N 2.46
Sm (0.6336, 0.6336, 0.0000)  1 N 2.38
N (0.5000, 0.5000, 0.0000)  6 Sm 2.38-2.46

- formation energy without anion corrections (meV per atom) = -239
- total magnetic moment (μB per cell) = 0.0
- symmetry = I4/mmm (139)